TbPr2Pb9 | GGA-PBE | optimized geometry

It has space group P4/mmm (No. 123), with a = 4.928 Å, b = 4.928 Å, c = 14.761 Å, α = 90.00°, β = 90.00° and γ = 90.00°. Symmetry generates all atoms from Tb at (0.000, 0.000, 0.000), Pr at (0.000, 0.000, 0.332), Pb at (0.000, 0.500, 0.163), Pb at (0.000, 0.500, 0.500), Pb at (0.500, 0.500, 0.000) and Pb at (0.500, 0.500, 0.332).

As for the crystal system: tetragonal. The calculation puts the energy at -4.320 eV per atom. The calculation puts the formation energy at -0.356 eV/atom. Its magnetic moment is 0.00 μB per cell.